P | Below is a relaxed HfOs3Rh crystal, with properties calculated at the GGA-PBE level.

abc: 4.7124 4.7124 4.7124
angles: 90.00 90.00 90.00
With the nearest neighbours (Å) after each atom.
Atoms (fractional coordinates):
1 Hf 0.0000 0.0000 0.0000  6 Os 2.36
2 Os 0.0000 0.0000 0.5000  2 Hf 2.36
3 Os 0.0000 0.5000 0.0000  2 Hf 2.36
4 Os 0.5000 0.0000 0.0000  2 Hf 2.36
5 Rh 0.5000 0.5000 0.5000  12 Os 3.33

- space group = Pm-3m
- crystal system = cubic
- calculated volume (Å³/f.u.) = 104.65

***

Q | Below is a relaxed HfOs3Rh crystal, with properties calculated at the GGA-PBE level.

abc: 4.6402 4.6402 4.6402
angles: 90.00 90.00 90.00
With the nearest neighbours (Å) after each atom.
Atoms (fractional coordinates):
1 Hf 0.0000 0.0000 0.0000  12 Os 3.28
2 Os 0.0000 0.5000 0.5000  2 Rh 2.32
3 Os 0.5000 0.0000 0.5000  2 Rh 2.32
4 Os 0.5000 0.5000 0.0000  2 Rh 2.32
5 Rh 0.5000 0.5000 0.5000  6 Os 2.32

- space group = Pm-3m
- crystal system = cubic
- calculated volume (Å³/f.u.) = 99.91

***

Pick Q: it beats the second-best structure by 64.6 kJ/mol of atoms.

***

P | Below is a relaxed Hf3OsRh2 crystal, with properties calculated at the GGA-PBE level.

abc: 4.6226 4.6226 5.6409
angles: 90.00 90.00 120.00
With the nearest neighbours (Å) after each atom.
Atoms (fractional coordinates):
1 Hf 0.0000 0.0000 0.0000  6 Rh 2.82, 2 Os 2.82
2 Hf 0.3333 0.6667 0.6617  5 Rh 2.80-2.85, 3 Os 2.82
3 Hf 0.6667 0.3333 0.3383  5 Rh 2.80-2.85, 3 Os 2.82
4 Os 0.0000 0.0000 0.5000  8 Hf 2.82
5 Rh 0.3333 0.6667 0.1589  8 Hf 2.80-2.85
6 Rh 0.6667 0.3333 0.8411  8 Hf 2.80-2.85

- space group = P-3m1
- crystal system = trigonal
- calculated volume (Å³/f.u.) = 104.39

***

Q | Below is a relaxed Hf3OsRh2 crystal, with properties calculated at the GGA-PBE level.

abc: 3.2544 3.2544 9.8515
angles: 90.00 90.00 90.00
With the nearest neighbours (Å) after each atom.
Atoms (fractional coordinates):
1 Hf 0.0000 0.0000 0.0000  8 Rh 2.82
2 Hf 0.0000 0.0000 0.3343  4 Os 2.82, 4 Rh 2.84
3 Hf 0.0000 0.0000 0.6657  4 Os 2.82, 4 Rh 2.84
4 Os 0.5000 0.5000 0.5000  8 Hf 2.82
5 Rh 0.5000 0.5000 0.1662  8 Hf 2.82-2.84
6 Rh 0.5000 0.5000 0.8338  8 Hf 2.82-2.84

- space group = P4/mmm
- crystal system = tetragonal
- calculated volume (Å³/f.u.) = 104.34

***

Pick P: it beats the second-best structure by 1.1 kJ/mol of atoms.

***

P | Below is a relaxed HfOsRu2 crystal, with properties calculated at the GGA-PBE level.

abc: 4.4766 4.4766 4.4766
angles: 60.00 60.00 60.00
With the nearest neighbours (Å) after each atom.
Atoms (fractional coordinates):
1 Hf 0.0000 0.0000 0.0000  8 Ru 2.74
2 Os 0.5000 0.5000 0.5000  8 Ru 2.74
3 Ru 0.2500 0.2500 0.2500  4 Os 2.74, 4 Hf 2.74
4 Ru 0.7500 0.7500 0.7500  4 Os 2.74, 4 Hf 2.74

- space group = Fm-3m
- crystal system = cubic
- calculated volume (Å³/f.u.) = 63.43

***

Q | Below is a relaxed HfOsRu2 crystal, with properties calculated at the GGA-PBE level.

abc: 9.4836 9.4836 9.4836
angles: 156.36 156.36 33.68
With the nearest neighbours (Å) after each atom.
Atoms (fractional coordinates):
1 Hf 0.0000 0.0000 0.0000  4 Ru 2.70, 4 Os 2.75
2 Hf 0.7500 0.2500 0.5000  4 Ru 2.70, 4 Os 2.75
3 Os 0.2500 0.7500 0.5000  4 Ru 2.61, 4 Hf 2.75
4 Os 0.5000 0.5000 0.0000  4 Ru 2.61, 4 Hf 2.75
5 Ru 0.1548 0.6250 0.0298  2 Ru 2.59, 2 Os 2.61, 2 Hf 2.70
6 Ru 0.3750 0.4048 0.5298  2 Ru 2.59, 2 Os 2.61, 2 Hf 2.70
7 Ru 0.5952 0.1250 0.9702  2 Ru 2.59, 2 Os 2.61, 2 Hf 2.70
8 Ru 0.8750 0.8452 0.4702  2 Ru 2.59, 2 Os 2.61, 2 Hf 2.70

- space group = I-42d
- crystal system = tetragonal
- calculated volume (Å³/f.u.) = 68.52

***

Pick P: it beats the second-best structure by 32.9 kJ/mol of atoms.

***

P | Below is a relaxed HfOs2Ru crystal, with properties calculated at the GGA-PBE level.

abc: 4.4841 4.4841 4.4841
angles: 60.00 60.00 60.00
With the nearest neighbours (Å) after each atom.
Atoms (fractional coordinates):
1 Hf 0.0000 0.0000 0.0000  8 Os 2.75
2 Os 0.2500 0.2500 0.2500  4 Hf 2.75, 4 Ru 2.75
3 Os 0.7500 0.7500 0.7500  4 Hf 2.75, 4 Ru 2.75
4 Ru 0.5000 0.5000 0.5000  8 Os 2.75

- space group = Fm-3m
- crystal system = cubic
- calculated volume (Å³/f.u.) = 63.75

***

Q | Below is a relaxed HfOs2Ru crystal, with properties calculated at the GGA-PBE level.

abc: 9.9513 9.9513 9.9513
angles: 158.04 158.04 31.25
With the nearest neighbours (Å) after each atom.
Atoms (fractional coordinates):
1 Hf 0.0000 0.0000 0.0000  4 Ru 2.68, 4 Os 2.80
2 Hf 0.7500 0.2500 0.5000  4 Ru 2.68, 4 Os 2.80
3 Os 0.1640 0.6250 0.0390  2 Os 2.48, 2 Ru 2.70
4 Os 0.3750 0.4140 0.5390  2 Os 2.48, 2 Ru 2.70
5 Os 0.5860 0.1250 0.9610  2 Os 2.48, 2 Ru 2.70
6 Os 0.8750 0.8360 0.4610  2 Os 2.48, 2 Ru 2.70
7 Ru 0.2500 0.7500 0.5000  4 Hf 2.68, 4 Os 2.70
8 Ru 0.5000 0.5000 0.0000  4 Hf 2.68, 4 Os 2.70

- space group = I-42d
- crystal system = tetragonal
- calculated volume (Å³/f.u.) = 68.84

***

Pick P: it beats the second-best structure by 30.4 kJ/mol of atoms.